{
  "formula": "Ba4SbSeBr2",
  "functional": "GGA-PBE",
  "state": "optimized geometry",
  "cell": [[4.8799, 0.0000, 0.0000], [0.0001, 8.3296, -0.1268], [0.0000, 2.9691, 7.8521]],
  "species": ["Ba", "Br", "Sb", "Ba", "Se", "Ba", "Ba", "Br"],
  "fractional_positions": [[0.0000, 0.7298, 0.7607], [0.5000, 0.0000, 0.5000], [0.0000, 0.5000, 0.5000], [0.0000, 0.2702, 0.2393], [0.5000, 0.5000, 0.0000], [0.5000, 0.2651, 0.7493], [0.5000, 0.7349, 0.2507], [0.0000, 0.0000, 0.0000]],
  "sg": "P2/m",
  "crystal_system": "monoclinic",
  "e_form_raw_mev_per_atom": -1682
}



{
  "formula": "ScTa2Ag",
  "functional": "GGA-PBE",
  "state": "optimized geometry",
  "cell": [[3.4332, 0.0000, 0.0000], [0.0000, 3.4332, 0.0000], [0.0000, 0.0000, 6.5919]],
  "species": ["Ta", "Sc", "Ag", "Ta"],
  "fractional_positions": [[0.5000, 0.5000, 0.2232], [0.5000, 0.5000, 0.7533], [0.0000, 0.0000, 0.4985], [0.0000, 0.0000, 0.0250]],
  "sg": "P4mm",
  "formation_energy_ev_per_atom": 0.12,
  "crystal_system": "tetragonal",
  "e_above_lowest_polymorph_ev_per_atom": 0.024
}



{
  "formula": "Pm2YAs",
  "functional": "GGA-PBE",
  "state": "optimized geometry",
  "cell": [[3.9648, 0.0000, 0.0000], [1.9824, 3.4336, 0.0000], [1.9824, 1.1445, 9.5688]],
  "species": ["Pm", "As", "Y", "Pm"],
  "fractional_positions": [[0.2714, 0.2714, 0.1859], [0.0000, 0.0000, 0.0000], [0.5000, 0.5000, 0.5000], [0.7286, 0.7286, 0.8141]],
  "sg": "R-3m",
  "formation_energy_ev_per_atom": -0.57,
  "crystal_system": "trigonal",
  "e_above_lowest_polymorph_ev_per_atom": 0.031
}



{
  "formula": "LaAlNi2",
  "functional": "GGA-PBE",
  "state": "optimized geometry",
  "cell": [[3.1269, 0.0000, 0.0000], [0.0000, 3.0975, 0.0151], [0.0000, 3.0728, 6.8561]],
  "species": ["Ni", "La", "Al", "Ni"],
  "fractional_positions": [[0.0000, 0.5652, 0.4352], [0.5000, 0.7500, 0.7500], [0.5000, 0.2500, 0.2500], [0.0000, 0.9348, 0.0648]],
  "sg": "P2/m",
  "formation_energy_ev_per_atom": -0.31,
  "crystal_system": "monoclinic"
}



{
  "formula": "KHf2RhCl",
  "functional": "GGA-PBE",
  "state": "optimized geometry",
  "cell": [[-0.8799, 5.0386, 0.5494], [-4.1850, -0.9649, 2.1465], [2.3631, -0.0855, 4.5686]],
  "species": ["Rh", "Cl", "K", "Hf", "Hf"],
  "fractional_positions": [[0.5000, 0.5000, 0.5000], [0.0000, 0.5000, 0.0000], [0.0000, 0.0000, 0.0000], [0.5000, 0.0000, 0.0000], [0.0000, 0.0000, 0.5000]],
  "sg": "P4/mmm",
  "crystal_system": "tetragonal",
  "e_form_raw_mev_per_atom": 2027,
  "e_above_lowest_polymorph_ev_per_atom": 1.907
}



{
  "formula": "LaNbSiPt2",
  "functional": "GGA-PBE",
  "state": "optimized geometry",
  "cell": [[-2.5878, 3.3021, 2.6431], [1.0268, -2.4383, 4.0518], [4.0967, 2.7276, 0.6033]],
  "species": ["Pt", "Si", "La", "Pt", "Nb"],
  "fractional_positions": [[0.5000, 0.0000, 0.0000], [0.0000, 0.5000, 0.0000], [0.5000, 0.5000, 0.5000], [0.0000, 0.0000, 0.5000], [0.0000, 0.0000, 0.0000]],
  "sg": "P4/mmm",
  "crystal_system": "tetragonal",
  "e_form_raw_mev_per_atom": -175
}



no.,uncorrected energy (eV for the cell shown)
1,-32.10
2,-32.40
3,-22.91
4,-21.49
5,-20.07
6,-33.38